1.
# Ba2TaO4F PBE-GGA relaxed
# Electronic total energy, eV/cell: -120.96
# Calculated volume, Å³ per cell: 260.2
# Formation energy from raw total energies, eV/atom: -2.8847
# Total magnetic moment, μB per atom: 0.0000
data_Ba2TaO4F
_chemical_formula_sum 'Ba4 Ta2 O8 F2'
_cell_length_a 11.549
_cell_length_b 3.371
_cell_length_c 7.449
_cell_angle_alpha 90.00
_cell_angle_beta 116.21
_cell_angle_gamma 90.00
_space_group_name_H-M_alt 'C 1 2/m 1'
_space_group_IT_number 12
loop_
_space_group_symop_operation_xyz
'x,y,z'
'-x,-y,-z'
'-x,y,-z'
'x,-y,z'
'x+1/2,y+1/2,z'
'-x+1/2,-y+1/2,-z'
'-x+1/2,y+1/2,-z'
'x+1/2,-y+1/2,z'
loop_
_atom_site_label
_atom_site_type_symbol
_atom_site_fract_x
_atom_site_fract_y
_atom_site_fract_z
Ba1 Ba 0.184 0.000 0.192
Ta1 Ta 0.000 0.000 0.500
O1 O 0.095 0.500 0.448
O2 O 0.134 0.000 0.775
F1 F 0.000 0.500 0.000



2.
# Li2TaZnSn PBE-GGA relaxed
# Energy relative to the elements, kJ per mole of atoms: 75
# Electronic total energy, eV/cell: -17.07
# Calculated volume, Å³ per cell: 117.2
# Total magnetic moment, μB per atom: 0.1378
data_Li2TaZnSn
_chemical_formula_sum 'Li2 Ta1 Zn1 Sn1'
_cell_length_a 4.703
_cell_length_b 4.703
_cell_length_c 5.301
_cell_angle_alpha 90.00
_cell_angle_beta 90.00
_cell_angle_gamma 90.00
_space_group_name_H-M_alt 'P 4/m m m'
_space_group_IT_number 123
_space_group_name_Hall '-P 4 2'
loop_
_atom_site_label
_atom_site_type_symbol
_atom_site_fract_x
_atom_site_fract_y
_atom_site_fract_z
Li1 Li 0.000 0.500 0.000
Ta1 Ta 0.000 0.000 0.500
Zn1 Zn 0.500 0.500 0.500
Sn1 Sn 0.000 0.000 0.000



3.
# Pu2Ga4GePd3 PBE-GGA relaxed
# Energy relative to the elements, kJ per mole of atoms: -49
# Electronic total energy, eV/cell: -66.05
# Calculated volume, Å³ per cell: 192.6
# Total magnetic moment, μB per atom: 1.1185
data_Pu2Ga4GePd3
_chemical_formula_sum 'Pu2 Ga4 Ge1 Pd3'
_cell_length_a 4.190
_cell_length_b 4.190
_cell_length_c 10.969
_cell_angle_alpha 90.00
_cell_angle_beta 90.00
_cell_angle_gamma 90.00
_space_group_name_H-M_alt 'P -4 m 2'
_space_group_IT_number 115
loop_
_space_group_symop_operation_xyz
'x,y,z'
'y,-x,-z'
'-x,-y,z'
'-y,x,-z'
'-x,y,z'
'-y,-x,-z'
'x,-y,z'
'y,x,-z'
loop_
_atom_site_label
_atom_site_type_symbol
_atom_site_fract_x
_atom_site_fract_y
_atom_site_fract_z
Pu1 Pu 0.000 0.500 0.247
Ga1 Ga 0.000 0.000 0.000
Ga2 Ga 0.000 0.500 0.639
Ga3 Ga 0.500 0.500 0.000
Ge1 Ge 0.000 0.000 0.500
Pd1 Pd 0.000 0.500 0.865
Pd2 Pd 0.500 0.500 0.500



4.
# Cd6Ag12Pd PBE-GGA relaxed
# Energy relative to the elements, kJ per mole of atoms: -3
# Electronic total energy, eV/cell: -136.58
# Calculated volume, Å³ per cell: 1097.6
# Total magnetic moment, μB per atom: 0.0000
data_Cd6Ag12Pd
_chemical_formula_sum 'Cd18 Ag36 Pd3'
_cell_length_a 10.1335
_cell_length_b 10.1335
_cell_length_c 12.3424
_cell_angle_alpha 90.00
_cell_angle_beta 90.00
_cell_angle_gamma 120.00
_space_group_name_H-M_alt 'R -3'
_space_group_IT_number 148
_space_group_name_Hall '-R 3'
loop_
_atom_site_label
_atom_site_type_symbol
_atom_site_fract_x
_atom_site_fract_y
_atom_site_fract_z
Cd1 Cd 0.0279 0.5930 0.2088
Ag1 Ag 0.0360 0.8550 0.3094
Ag2 Ag 0.0619 0.2053 0.9103
Pd1 Pd 0.0000 0.0000 0.5000



5.
# Ce2CrNi9 PBE-GGA relaxed
# Energy relative to the elements, kJ per mole of atoms: -15
# Electronic total energy, eV/cell: -226.08
# Calculated volume, Å³ per cell: 500.8
# Total magnetic moment, μB per atom: 0.3223
data_Ce2CrNi9
_chemical_formula_sum 'Ce6 Cr3 Ni27'
_cell_length_a 4.8611
_cell_length_b 4.8611
_cell_length_c 24.4722
_cell_angle_alpha 90.00
_cell_angle_beta 90.00
_cell_angle_gamma 120.00
_space_group_name_H-M_alt 'R -3 m'
_space_group_IT_number 166
_space_group_name_Hall '-R 3 2"'
loop_
_atom_site_label
_atom_site_type_symbol
_atom_site_fract_x
_atom_site_fract_y
_atom_site_fract_z
Ce1 Ce 0.0000 0.0000 0.1333
Cr1 Cr 0.0000 0.0000 0.0000
Ni1 Ni 0.0000 0.0000 0.3329
Ni2 Ni 0.0000 0.0000 0.5000
Ni3 Ni 0.0006 0.5003 0.9188



6.
# Th2Cu3Ge4Pt PBE-GGA relaxed
# Energy relative to the elements, kJ per mole of atoms: -57
# Electronic total energy, eV/cell: -57.55
# Calculated volume, Å³ per cell: 183.4
# Total magnetic moment, μB per atom: 0.0000
data_Th2Cu3Ge4Pt
_chemical_formula_sum 'Th2 Cu3 Ge4 Pt1'
_cell_length_a 4.297
_cell_length_b 4.297
_cell_length_c 9.932
_cell_angle_alpha 90.00
_cell_angle_beta 90.00
_cell_angle_gamma 90.00
_space_group_name_H-M_alt 'P -4 m 2'
_space_group_IT_number 115
loop_
_space_group_symop_operation_xyz
'x,y,z'
'y,-x,-z'
'-x,-y,z'
'-y,x,-z'
'-x,y,z'
'-y,-x,-z'
'x,-y,z'
'y,x,-z'
loop_
_atom_site_label
_atom_site_type_symbol
_atom_site_fract_x
_atom_site_fract_y
_atom_site_fract_z
Th1 Th 0.000 0.500 0.248
Cu1 Cu 0.000 0.000 0.000
Cu2 Cu 0.000 0.500 0.626
Ge1 Ge 0.000 0.000 0.500
Ge2 Ge 0.000 0.500 0.866
Ge3 Ge 0.500 0.500 0.500
Pt1 Pt 0.500 0.500 0.000